LaPdW | GGA-PBE | relaxed

Lattice parameters (Å, degrees): 4.7397 4.7397 4.7397 60.00 60.00 60.00
With the nearest neighbours (Å) after each atom.
Positions (direct):
La1 0.2500 0.2500 0.2500  4 Pd 2.90
Pd1 0.0000 0.0000 0.0000  4 La 2.90, 4 W 2.90
W1 0.7500 0.7500 0.7500  4 Pd 2.90

Calculated values
The space-group type is F-43m, No. 216. Its energy above the most stable polymorph in this dataset is 0.581 eV per atom.

---

KGdCoTe3 | GGA-PBE | relaxed

Lattice parameters (Å, degrees): 9.8959 4.2492 10.0277 90.00 109.02 90.00
With the nearest neighbours (Å) after each atom.
Positions (direct):
Co1 0.5762 0.2500 0.0902  4 Te 2.50-2.59
Co2 0.4238 0.7500 0.9098  4 Te 2.50-2.59
Gd1 0.8272 0.7500 0.3591  6 Te 3.08-3.16
Gd2 0.1728 0.2500 0.6409  6 Te 3.08-3.16
K1 0.2970 0.7500 0.2626  7 Te 3.51-3.64
K2 0.7030 0.2500 0.7374  7 Te 3.51-3.64
Te1 0.6890 0.7500 0.0275  3 Co 2.50-2.57
Te2 0.0370 0.2500 0.3168  3 Gd 3.09
Te3 0.6012 0.2500 0.3556  1 Co 2.59
Te4 0.3988 0.7500 0.6444  1 Co 2.59
Te5 0.9630 0.7500 0.6832  3 Gd 3.09
Te6 0.3110 0.2500 0.9725  3 Co 2.50-2.57

Calculated values
The space-group type is P2_1/m, No. 11. Its energy above the most stable polymorph in this dataset is 0.000 eV per atom.

---

Li7SmO6 | GGA-PBE | relaxed

Lattice parameters (Å, degrees): 5.6600 5.6590 6.1851 62.77 117.24 120.00
With the nearest neighbours (Å) after each atom.
Positions (direct):
Li1 0.3499 0.6501 0.0497  3 O 2.07
Li2 0.7819 0.4976 0.3554  4 O 1.92-2.01
Li3 0.5024 0.9290 0.3555  4 O 1.92-2.01
Li4 0.0710 0.2180 0.3555  4 O 1.92-2.01
Li5 0.8670 0.7385 0.6405  4 O 1.86-2.04
Li6 0.2616 0.4878 0.6406  4 O 1.86-2.04
Li7 0.5122 0.1330 0.6407  4 O 1.86-2.04
O1 0.7448 0.8697 0.2621  5 Li 1.92-2.07
O2 0.1302 0.6130 0.2621  5 Li 1.92-2.07
O3 0.3870 0.2551 0.2621  5 Li 1.92-2.07
O4 0.2062 0.0742 0.7233  4 Li 1.86-2.04
O5 0.5912 0.7938 0.7233  4 Li 1.86-2.04
O6 0.9258 0.4088 0.7234  4 Li 1.86-2.04
Sm1 0.9986 0.0014 0.9957  6 O 2.25-2.30

Calculated values
The total energy is -5.24 eV per atom. The space-group type is R3, No. 146.

---

Y3Er3CuTe2 | GGA-PBE | relaxed

Lattice parameters (Å, degrees): 8.4071 8.4071 3.9168 90.00 90.00 120.00
With the nearest neighbours (Å) after each atom.
Positions (direct):
Cu1 0.0000 0.0000 0.0000  6 Y 2.85
Er1 0.5967 0.0000 0.0000  4 Te 3.22, 1 Cu 3.39, 6 Y 3.54-3.55
Er2 0.4033 0.4033 0.0000  4 Te 3.22, 1 Cu 3.39, 6 Y 3.54-3.55
Er3 0.0000 0.5967 0.0000  4 Te 3.22, 1 Cu 3.39, 6 Y 3.54-3.55
Te1 0.6667 0.3333 0.5000  6 Er 3.22, 3 Y 3.23
Te2 0.3333 0.6667 0.5000  6 Er 3.22, 3 Y 3.23
Y1 0.2459 0.0000 0.5000  2 Cu 2.85
Y2 0.0000 0.2459 0.5000  2 Cu 2.85
Y3 0.7541 0.7541 0.5000  2 Cu 2.85

Calculated values
The space-group type is P-62m, No. 189. Its energy above the most stable polymorph in this dataset is 0.035 eV per atom.

---

Number 3 is which compound?
Li7SmO6

---

Which formula does entry 4 have?
Y3Er3CuTe2

---

What is the formula in the third record?
Li7SmO6